Record 1
Computed, not measured: LiTcPd after structural relaxation at the PBE level of DFT.

Total moment: 0.000 μB/cell
Symmetry: C2/m (12)
Calculated formation energy: -0.033 eV per atom

Unit cell a=6.470 b=6.470 c=5.106 alpha=101.69 beta=101.69 gamma=24.39
Element x y z (fractional)
Li: 0.178 0.178 0.105
Li: 0.822 0.822 0.895
Tc: 0.497 0.497 0.217
Tc: 0.503 0.503 0.783
Pd: 0.158 0.158 0.581
Pd: 0.842 0.842 0.419

---

Record 2
Computed, not measured: Li2TcPd after structural relaxation at the PBE level of DFT.

Total moment: 0.000 μB/cell
Symmetry: I-42d (122)
Calculated formation energy: 0.554 eV per atom

Unit cell a=5.373 b=5.373 c=5.373 alpha=102.96 beta=102.96 gamma=123.46
Element x y z (fractional)
Li: 0.113 0.625 0.988
Li: 0.375 0.363 0.488
Li: 0.637 0.125 0.012
Li: 0.875 0.887 0.512
Tc: 0.250 0.750 0.500
Tc: 0.500 0.500 0.000
Pd: 0.000 0.000 0.000
Pd: 0.750 0.250 0.500

---

Record 3
Computed, not measured: LiTcPd after structural relaxation at the PBE level of DFT.

Total moment: 0.000 μB/cell
Symmetry: P1 (1)
Calculated formation energy: 0.013 eV per atom

Unit cell a=2.677 b=4.793 c=7.095 alpha=82.08 beta=83.39 gamma=80.56
Element x y z (fractional)
Li: 0.000 0.000 0.000
Li: 0.355 0.983 0.340
Tc: 0.088 0.466 0.516
Tc: 0.273 0.516 0.826
Pd: 0.680 0.991 0.670
Pd: 0.681 0.492 0.171

---

Record 4
Computed, not measured: LiTcTe2Pd after structural relaxation at the PBE level of DFT.

Raw formation energy: 758 meV per atom
Total moment: 2.023 μB/cell
Symmetry: P4/mmm (123)

Unit cell a=4.816 b=4.816 c=4.291 alpha=90.00 beta=90.00 gamma=90.00
Element x y z (fractional)
Li: 0.000 0.000 0.000
Tc: 0.000 0.000 0.500
Te: 0.000 0.500 0.000
Te: 0.500 0.000 0.000
Pd: 0.500 0.500 0.500

---

Record 5
Computed, not measured: LiThTcPd after structural relaxation at the PBE level of DFT.

Total moment: 0.000 μB/cell
Symmetry: F-43m (216)
Calculated formation energy: -0.128 eV per atom

Unit cell a=4.685 b=4.685 c=4.685 alpha=60.00 beta=60.00 gamma=60.00
Element x y z (fractional)
Li: 0.000 0.000 0.000
Th: 0.500 0.500 0.500
Tc: 0.750 0.750 0.750
Pd: 0.250 0.250 0.250

---

Record 6
Computed, not measured: LiTe2Pd2 after structural relaxation at the PBE level of DFT.

Raw formation energy: -342 meV per atom
Total moment: 0.000 μB/cell
Symmetry: I4/mmm (139)

Unit cell a=5.661 b=5.661 c=5.661 alpha=125.18 beta=125.18 gamma=81.23
Element x y z (fractional)
Li: 0.000 0.000 0.000
Te: 0.250 0.750 0.500
Te: 0.750 0.250 0.500
Pd: 0.337 0.337 0.000
Pd: 0.663 0.663 0.000

---

Record 7
Computed, not measured: LiTePd5 after structural relaxation at the PBE level of DFT.

Raw formation energy: 10 meV per atom
Total moment: 0.000 μB/cell
Symmetry: Imm2 (44)

Unit cell a=5.607 b=5.607 c=5.607 alpha=123.90 beta=102.59 gamma=102.97
Element x y z (fractional)
Li: 0.000 0.000 0.000
Te: 0.359 0.859 0.500
Pd: 0.231 0.542 0.689
Pd: 0.336 0.336 0.000
Pd: 0.709 0.453 0.745
Pd: 0.709 0.964 0.255
Pd: 0.854 0.542 0.311

---

Record 8
Computed, not measured: LiTe2Pd2 after structural relaxation at the PBE level of DFT.

Raw formation energy: -354 meV per atom
Total moment: 0.000 μB/cell
Symmetry: I4/mmm (139)

Unit cell a=7.205 b=7.205 c=7.205 alpha=145.98 beta=145.98 gamma=48.88
Element x y z (fractional)
Li: 0.000 0.000 0.000
Te: 0.380 0.380 0.000
Te: 0.620 0.620 0.000
Pd: 0.250 0.750 0.500
Pd: 0.750 0.250 0.500

---

What did the sixth record say?
Computed, not measured: LiTe2Pd2 after structural relaxation at the PBE level of DFT.

Raw formation energy: -342 meV per atom
Total moment: 0.000 μB/cell
Symmetry: I4/mmm (139)

Unit cell a=5.661 b=5.661 c=5.661 alpha=125.18 beta=125.18 gamma=81.23
Element x y z (fractional)
Li: 0.000 0.000 0.000
Te: 0.250 0.750 0.500
Te: 0.750 0.250 0.500
Pd: 0.337 0.337 0.000
Pd: 0.663 0.663 0.000

---

Q: What is the formula in the seventh record?
A: LiTePd5

---

Repeat the seventh record exactly.
Computed, not measured: LiTePd5 after structural relaxation at the PBE level of DFT.

Raw formation energy: 10 meV per atom
Total moment: 0.000 μB/cell
Symmetry: Imm2 (44)

Unit cell a=5.607 b=5.607 c=5.607 alpha=123.90 beta=102.59 gamma=102.97
Element x y z (fractional)
Li: 0.000 0.000 0.000
Te: 0.359 0.859 0.500
Pd: 0.231 0.542 0.689
Pd: 0.336 0.336 0.000
Pd: 0.709 0.453 0.745
Pd: 0.709 0.964 0.255
Pd: 0.854 0.542 0.311

---

Q: total moment of number 5 (LiThTcPd)?
A: 0.000 μB/cell